[1]
A relaxed CrCuAu crystal, computed with PBE.

Results
space group: Immm (71)

a = 5.2154 Å, b = 5.2154 Å, c = 5.2154 Å
α = 131.32°, β = 121.10°, γ = 79.82°
Atoms (fractional coordinates):
Cr1 0.1850 0.0000 0.1850
Cr2 0.8150 0.0000 0.8150
Cu1 0.1548 0.6548 0.5000
Cu2 0.8452 0.3452 0.5000
Au1 0.3318 0.3318 0.0000
Au2 0.6682 0.6682 0.0000

=====

[2]
A relaxed Cr2CuAu crystal, computed with PBE.

Results
space group: P4/mmm (123)

a = 3.7520 Å, b = 3.7520 Å, c = 4.0923 Å
α = 90.00°, β = 90.00°, γ = 90.00°
Atoms (fractional coordinates):
Cr1 0.0000 0.5000 0.0000
Cr2 0.5000 0.0000 0.0000
Cu1 0.0000 0.0000 0.5000
Au1 0.5000 0.5000 0.5000

=====

[3]
A relaxed CrCuAu2 crystal, computed with PBE.

Results
space group: P4mm (99)

a = 3.3132 Å, b = 3.3132 Å, c = 5.8605 Å
α = 90.00°, β = 90.00°, γ = 90.00°
Atoms (fractional coordinates):
Cr1 0.0000 0.0000 0.0000
Cu1 0.5000 0.5000 0.2355
Au1 0.0000 0.0000 0.4646
Au2 0.5000 0.5000 0.7575

=====

[4]
A relaxed CrCuAu crystal, computed with PBE.

Results
space group: F-43m (216)

a = 4.2164 Å, b = 4.2164 Å, c = 4.2164 Å
α = 60.00°, β = 60.00°, γ = 60.00°
Atoms (fractional coordinates):
Cr1 0.0000 0.0000 0.0000
Cu1 0.7500 0.7500 0.7500
Au1 0.5000 0.5000 0.5000

=====

| no. | E_form (kJ/mol of atoms) |
| --- | --- |
| 1 | 26.6 |
| 2 | 8.5 |
| 3 | 12.0 |
| 4 | 38.3 |